# GaCo3Ni12 (PBE, relaxed)
data_GaCo3Ni12
_chemical_formula_sum 'Ga1 Co3 Ni12'
_space_group_name_H-M_alt 'P 4/m m m'
_space_group_IT_number 123
_space_group_name_Hall '-P 4 2'
_cell_length_a 3.538
_cell_length_b 3.538
_cell_length_c 14.116
_cell_angle_alpha 90.00
_cell_angle_beta 90.00
_cell_angle_gamma 90.00
loop_
_atom_site_label
_atom_site_type_symbol
_atom_site_fract_x
_atom_site_fract_y
_atom_site_fract_z
Ga1 Ga 0.000 0.000 0.000
Co1 Co 0.000 0.000 0.252
Co2 Co 0.000 0.000 0.500
Ni1 Ni 0.000 0.500 0.130
Ni2 Ni 0.000 0.500 0.376
Ni3 Ni 0.500 0.500 0.000
Ni4 Ni 0.500 0.500 0.253
Ni5 Ni 0.500 0.500 0.500
# - electronic total energy (eV per atom) = -5.92
# - formation enthalpy at 0 K (eV/atom) = -0.06
# - DOS(E_F) (states/eV/atom) = 1.333

# Na5Sb2F12 (PBE, relaxed)
data_Na5Sb2F12
_chemical_formula_sum 'Na10 Sb4 F24'
_space_group_name_H-M_alt 'C 1 2/m 1'
_space_group_IT_number 12
_cell_length_a 11.622
_cell_length_b 8.029
_cell_length_c 6.039
_cell_angle_alpha 90.00
_cell_angle_beta 104.07
_cell_angle_gamma 90.00
loop_
_space_group_symop_operation_xyz
'x,y,z'
'-x,-y,-z'
'-x,y,-z'
'x,-y,z'
'x+1/2,y+1/2,z'
'-x+1/2,-y+1/2,-z'
'-x+1/2,y+1/2,-z'
'x+1/2,-y+1/2,z'
loop_
_atom_site_label
_atom_site_type_symbol
_atom_site_fract_x
_atom_site_fract_y
_atom_site_fract_z
Na1 Na 0.000 0.000 0.000
Na2 Na 0.166 0.500 0.069
Na3 Na 0.240 0.000 0.396
Sb1 Sb 0.000 0.252 0.500
F1 F 0.071 0.500 0.364
F2 F 0.099 0.189 0.252
F3 F 0.102 0.000 0.653
F4 F 0.150 0.321 0.768
# - electronic total energy (eV per atom) = -4.44
# - energy relative to the elements, uncorrected (eV per atom) = -2.478
# - DOS(E_F) (states/eV/atom) = 0.278

# Ca2CdCu2 (PBE, relaxed)
data_Ca2CdCu2
_chemical_formula_sum 'Ca4 Cd2 Cu4'
_space_group_name_H-M_alt 'I 4/m m m'
_space_group_IT_number 139
_space_group_name_Hall '-I 4 2'
_cell_length_a 3.555
_cell_length_b 3.555
_cell_length_c 18.476
_cell_angle_alpha 90.00
_cell_angle_beta 90.00
_cell_angle_gamma 90.00
loop_
_atom_site_label
_atom_site_type_symbol
_atom_site_fract_x
_atom_site_fract_y
_atom_site_fract_z
Ca1 Ca 0.000 0.000 0.117
Cd1 Cd 0.000 0.000 0.500
Cu1 Cu 0.000 0.500 0.250
# - electronic total energy (eV per atom) = -2.70
# - formation enthalpy at 0 K (eV/atom) = -0.08
# - DOS(E_F) (states/eV/atom) = 0.625

Computed values of volume (unit: Å³/atom) for the preceding records, in sequence: 11.04; 14.39; 23.36.
Computed values of total magnetic moment (unit: Bohr magnetons per cell) for the preceding records, in sequence: 11.9; 0.0; 0.0.